Record 1
Entry from the Alexandria database: crystalline GaPtO2F at its relaxed geometry (GGA-PBEsol).

Calculated values
Uncorrected formation energy   -0.508 eV per atom
Fermi-level density of states   0.5739 states/eV/atom
Final energy   -0.186 hartree per atom

Cell and atoms, written as POSCAR:
```
GaPtO2F
1.0
-3.486 1.198 0.265
0.126 -0.444 3.666
1.971 5.596 0.611
Ga F O Pt
1 1 2 1
Direct
0.500 0.500 0.500
0.000 0.000 0.500
0.500 0.000 0.000
0.000 0.500 0.000
0.000 0.000 0.000
```



Record 2
Entry from the Alexandria database: crystalline Li2Fe3CoO8 at its relaxed geometry (GGA-PBEsol).

Calculated values
Uncorrected formation energy   -1.435 eV per atom
Fermi-level density of states   0.4937 states/eV/atom
Final energy   -0.264 hartree per atom

Cell and atoms, written as POSCAR:
```
Li2Fe3CoO8
1.0
-3.724 -1.394 2.598
3.413 -1.250 4.222
-0.966 5.557 -1.250
Co O Li Fe
1 8 2 3
Direct
0.000 0.000 0.000
0.230 0.352 0.204
0.230 0.852 0.204
0.770 0.648 0.796
0.746 0.611 0.222
0.254 0.389 0.778
0.770 0.148 0.796
0.731 0.102 0.203
0.269 0.898 0.797
0.000 0.500 0.500
0.000 0.000 0.500
0.500 0.257 0.000
0.500 0.743 0.000
0.000 0.500 0.000
```



Record 3
Entry from the Alexandria database: crystalline Pd3S at its relaxed geometry (GGA-PBEsol).

Calculated values
Uncorrected formation energy   -0.262 eV per atom
Fermi-level density of states   0.3576 states/eV/atom
Final energy   -0.214 hartree per atom

Cell and atoms, written as POSCAR:
```
Pd3S
1.0
-0.699 1.802 -4.103
-3.853 0.384 2.362
1.833 5.488 2.097
Pd S
6 2
Direct
0.352 0.961 0.750
0.961 0.352 0.750
0.500 0.500 0.500
0.039 0.648 0.250
0.648 0.039 0.250
0.500 0.500 0.000
0.185 0.185 0.250
0.815 0.815 0.750
```



Record 4
Entry from the Alexandria database: crystalline Y2ScRhS at its relaxed geometry (GGA-PBEsol).

Calculated values
Uncorrected formation energy   -0.117 eV per atom
Fermi-level density of states   1.1528 states/eV/atom
Final energy   -0.245 hartree per atom

Cell and atoms, written as POSCAR:
```
Y2ScRhS
1.0
4.461 0.000 0.000
0.000 5.290 0.000
0.000 0.000 5.290
S Y Sc Rh
1 2 1 1
Direct
0.500 0.000 0.000
0.000 0.000 0.500
0.000 0.500 0.000
0.500 0.500 0.500
0.000 0.000 0.000
```



Record 5
Entry from the Alexandria database: crystalline SnS2F at its relaxed geometry (GGA-PBEsol).

Calculated values
Uncorrected formation energy   -0.430 eV per atom
Fermi-level density of states   0.2931 states/eV/atom
Final energy   -0.153 hartree per atom

Cell and atoms, written as POSCAR:
```
SnS2F
1.0
-1.687 0.380 -3.227
1.904 -0.324 -3.110
-1.317 -7.091 -2.222
S F Sn
2 1 1
Direct
0.903 0.903 0.290
0.097 0.097 0.710
0.000 0.000 0.000
0.500 0.500 0.500
```



Record 6
Entry from the Alexandria database: crystalline Cs2KRb2 at its relaxed geometry (GGA-PBEsol).

Calculated values
Fermi-level density of states   1.0229 states/eV/atom
Final energy   -0.035 hartree per atom

Cell and atoms, written as POSCAR:
```
Cs2KRb2
1.0
-0.934 -2.367 4.751
9.451 -8.923 -2.588
9.002 7.883 5.697
Cs Rb K
4 4 2
Direct
0.000 0.358 0.858
0.000 0.858 0.642
0.000 0.142 0.358
0.000 0.642 0.142
0.500 0.658 0.842
0.500 0.158 0.658
0.500 0.342 0.158
0.500 0.842 0.342
0.000 0.500 0.500
0.000 0.000 0.000
```



Repeat the fourth record exactly.
Entry from the Alexandria database: crystalline Y2ScRhS at its relaxed geometry (GGA-PBEsol).

Calculated values
Uncorrected formation energy   -0.117 eV per atom
Fermi-level density of states   1.1528 states/eV/atom
Final energy   -0.245 hartree per atom

Cell and atoms, written as POSCAR:
```
Y2ScRhS
1.0
4.461 0.000 0.000
0.000 5.290 0.000
0.000 0.000 5.290
S Y Sc Rh
1 2 1 1
Direct
0.500 0.000 0.000
0.000 0.000 0.500
0.000 0.500 0.000
0.500 0.500 0.500
0.000 0.000 0.000
```



Q: Number 5 is which compound?
A: SnS2F